# 1
VASP calculation (PBEsol) on crystalline YMnZn at its relaxed geometry.

Cell lengths 4.6228, 4.6228, 4.6228 Å; angles 60.00, 60.00, 60.00 degrees
With the nearest neighbours (Å) after each atom.
Element x y z (fractional)
Y: 0.0000 0.0000 0.0000  4 Mn 2.83, 4 Zn 2.83
Mn: 0.2500 0.2500 0.2500  4 Y 2.83
Zn: 0.7500 0.7500 0.7500  4 Y 2.83

Values from the calculation:
Space group: F-43m (216)
DFT formation energy (eV/f.u.): 2.5
ρ (g cm⁻³): 4.97

# 2
VASP calculation (PBEsol) on crystalline YMnZn at its relaxed geometry.

Cell lengths 5.6252, 5.6252, 5.6252 Å; angles 146.14, 146.14, 48.64 degrees
With the nearest neighbours (Å) after each atom.
Element x y z (fractional)
Y: 0.0000 0.0000 0.0000  5 Mn 2.99-3.23, 5 Zn 3.07-3.10, 4 Y 3.28
Mn: 0.6850 0.6850 0.0000  4 Zn 2.60
Zn: 0.2991 0.2991 0.0000  4 Mn 2.60

Values from the calculation:
Space group: I4mm (107)
DFT formation energy (eV/f.u.): 0.2
ρ (g cm⁻³): 6.31

# 3
VASP calculation (PBEsol) on crystalline YZr2Mn at its relaxed geometry.

Cell lengths 5.7369, 5.7369, 5.7369 Å; angles 146.66, 126.78, 64.26 degrees
With the nearest neighbours (Å) after each atom.
Element x y z (fractional)
Y: 0.0000 0.0000 0.0000  4 Mn 3.05, 8 Zr 3.23-3.34, 2 Y 3.29
Zr: 0.2991 0.7991 0.5000  2 Mn 2.55
Zr: 0.7009 0.2009 0.5000  2 Mn 2.55
Mn: 0.5000 0.5000 0.0000  4 Zr 2.55

Values from the calculation:
Space group: Immm (71)
DFT formation energy (eV/f.u.): 0.3
ρ (g cm⁻³): 6.59
Excess energy over the best structure of this formula in the dataset (meV/atom): 0

What is the ρ in the second record? 6.31 g cm⁻³